# KLiAs2

Crystalline KLiAs2 at its relaxed geometry (PBE-GGA, Alexandria).

The space group is C2/m (No. 12) and the conventional cell measures 9.051, 3.693 and 6.343 Å, with angles of 90.00, 101.51 and 90.00 degrees. The asymmetric unit holds K at (0.000, 0.000, 0.000), Li at (0.000, 0.500, 0.500) and As at (0.244, 0.000, 0.633).

Its excess energy over the best structure of this formula in the dataset is 16 meV per atom. For the density of states at the Fermi level, the calculation gives 0.1594 states/eV per atom. As for the uncorrected energy: -28.159 eV per cell. For the calculated formation energy, the calculation gives -442 meV per atom. As for the magnetic moment: 0.00 μB per cell.

***

# KLiAs2

Crystalline KLiAs2 at its relaxed geometry (PBE-GGA, Alexandria).

The space group is P4/mmm (No. 123) and the conventional cell measures 4.298, 4.298 and 4.749 Å, with angles of 90.00, 90.00 and 90.00 degrees. The asymmetric unit holds K at (0.000, 0.000, 0.000), Li at (0.500, 0.500, 0.000) and As at (0.000, 0.500, 0.500).

Its excess energy over the best structure of this formula in the dataset is 333 meV per atom. For the density of states at the Fermi level, the calculation gives 0.5522 states/eV per atom. As for the uncorrected energy: -12.811 eV per cell. For the calculated formation energy, the calculation gives -125 meV per atom. As for the magnetic moment: 0.00 μB per cell.

***

# K2LiAs

Crystalline K2LiAs at its relaxed geometry (PBE-GGA, Alexandria).

The space group is I4/mmm (No. 139) and the conventional cell measures 5.072, 5.072 and 9.350 Å, with angles of 90.00, 90.00 and 90.00 degrees. The asymmetric unit holds K at (0.000, 0.500, 0.250), Li at (0.000, 0.000, 0.000) and As at (0.000, 0.000, 0.500).

For the density of states at the Fermi level, the calculation gives 0.1940 states/eV per atom. As for the uncorrected energy: -18.764 eV per cell. For the calculated formation energy, the calculation gives -156 meV per atom. As for the magnetic moment: 0.00 μB per cell.

***

# K5Li3As3

Crystalline K5Li3As3 at its relaxed geometry (PBE-GGA, Alexandria).

The space group is P-62m (No. 189) and the conventional cell measures 10.2648, 10.2648 and 4.8876 Å, with angles of 90.00, 90.00 and 120.00 degrees. The asymmetric unit holds K at (0.0000, 0.7297, 0.0000), K at (0.3333, 0.6667, 0.0000), Li at (0.0000, 0.3663, 0.5000) and As at (0.0000, 0.3657, 0.0000).

For the density of states at the Fermi level, the calculation gives 0.8158 states/eV per atom. As for the uncorrected energy: -29.136 eV per cell. For the calculated formation energy, the calculation gives -360 meV per atom. As for the magnetic moment: 0.89 μB per cell.

***

What did the second record say?
# KLiAs2

Crystalline KLiAs2 at its relaxed geometry (PBE-GGA, Alexandria).

The space group is P4/mmm (No. 123) and the conventional cell measures 4.298, 4.298 and 4.749 Å, with angles of 90.00, 90.00 and 90.00 degrees. The asymmetric unit holds K at (0.000, 0.000, 0.000), Li at (0.500, 0.500, 0.000) and As at (0.000, 0.500, 0.500).

Its excess energy over the best structure of this formula in the dataset is 333 meV per atom. For the density of states at the Fermi level, the calculation gives 0.5522 states/eV per atom. As for the uncorrected energy: -12.811 eV per cell. For the calculated formation energy, the calculation gives -125 meV per atom. As for the magnetic moment: 0.00 μB per cell.